[1]
Computed, not measured: crystalline Rb2ZnInI6 at its relaxed geometry at the PBE level of DFT. Values from VASP.

Cell and atoms, written as Quantum ESPRESSO input:
```
&SYSTEM
  ibrav = 0, nat = 10, ntyp = 4
/
ATOMIC_SPECIES
Rb 85.47 Rb.upf
Zn 65.41 Zn.upf
In 114.82 In.upf
I 126.90 I.upf
CELL_PARAMETERS angstrom
-4.193 4.193 5.958
4.193 -4.193 5.958
4.193 4.193 -5.958
ATOMIC_POSITIONS angstrom
Rb 4.193 0.000 2.979
Rb 0.000 4.193 2.979
Zn 0.000 0.000 0.000
In 0.000 0.000 5.958
I 0.000 0.000 2.897
I 2.035 2.035 0.000
I 2.157 -2.157 5.958
I -2.157 2.157 5.958
I 0.000 0.000 9.020
I 2.157 2.157 5.958
```

***

[2]
Computed, not measured: crystalline Rb2ZrInI6 at its relaxed geometry at the PBE level of DFT. Values from VASP.

- Energy above the lowest structure with this stoichiometry: 0 meV per atom

Cell and atoms, written as Quantum ESPRESSO input:
```
&SYSTEM
  ibrav = 0, nat = 20, ntyp = 4
/
ATOMIC_SPECIES
Rb 85.47 Rb.upf
Zr 91.22 Zr.upf
In 114.82 In.upf
I 126.90 I.upf
CELL_PARAMETERS angstrom
4.195 2.422 16.704
-4.195 2.422 16.704
0.000 -4.844 16.704
ATOMIC_POSITIONS angstrom
Rb 0.000 0.000 7.089
Rb 0.000 0.000 15.546
Rb 0.000 0.000 34.566
Rb 0.000 0.000 43.023
Zr 0.000 0.000 0.000
Zr 0.000 0.000 25.056
In 0.000 0.000 20.933
In 0.000 0.000 29.180
I -2.070 -1.195 23.322
I 0.000 -2.474 18.420
I -2.143 1.237 18.420
I -2.143 -1.237 31.692
I 0.000 -2.390 26.790
I -2.070 1.195 26.790
I 2.070 -1.195 23.322
I 0.000 2.390 23.322
I 2.143 1.237 18.420
I 2.143 -1.237 31.692
I 0.000 2.474 31.692
I 2.070 1.195 26.790
```

***

| no. | calculated volume (Å³/atom) | DOS at the Fermi energy (states/eV/cell) | electronic total energy (eV per atom) |
| --- | --- | --- | --- |
| 1 | 41.9 | 1.8 | -2.37 |
| 2 | 50.9 | 13.1 | -3.25 |